Entry from Alexandria via LeMat-Bulk: KMgSc2 after structural relaxation (PBEsol).

Results
DFT formation energy: 372.8 meV/atom
Theoretical density: 2256 kg/m3
N(E_F): 1.34 states/eV/atom
Total DFT energy (no corrections): -3.642 eV/atom
V: 113 Å³ per cell

CIF file:
```
data_KMgSc2
_cell_length_a 12.138
_cell_length_b 12.138
_cell_length_c 12.138
_cell_angle_alpha 15.61
_cell_angle_beta 15.61
_cell_angle_gamma 15.61
_space_group_name_H-M_alt 'P 1'
_space_group_IT_number 1
_space_group_name_Hall 'P 1'
loop_
_atom_site_label
_atom_site_type_symbol
_atom_site_fract_x
_atom_site_fract_y
_atom_site_fract_z
K1 K 0.000 0.000 0.000
Mg1 Mg 0.500 0.500 0.500
Sc1 Sc 0.097 0.097 0.097
Sc2 Sc 0.903 0.903 0.903
```